Entry 1:
Sm4Dy6Ho, relaxed, DFT GGA-PBE; SG = I-42m
1.0
7.6197 0.0000 0.0000
0.0000 7.6197 0.0000
-3.8099 -3.8099 6.5819
Sm Dy Ho
4 6 1
Direct
0.0963 0.7503 0.8466
0.9037 0.9037 0.1534
0.7503 0.0963 0.8466
0.2497 0.2497 0.1534
0.9230 0.4465 0.3695
0.4465 0.9230 0.3695
0.5535 0.5535 0.6305
0.0000 0.5000 0.0000
0.0770 0.0770 0.6305
0.5000 0.0000 0.0000
0.5000 0.5000 0.0000

Entry 2:
Sm4Dy3Ho, relaxed, DFT GGA-PBE; SG = Cmmm
1.0
-3.8134 3.8119 -1.7344
-2.0558 -0.7477 2.8767
8.0549 7.3407 7.6712
Ho Sm Dy
1 4 3
Direct
0.5000 0.0000 0.0000
0.6027 0.5000 0.2055
0.3973 0.5000 0.7945
0.2772 0.4995 0.5543
0.7228 0.5005 0.4457
0.0000 0.5000 0.0000
0.8484 0.9995 0.6967
0.1516 0.0005 0.3033

Entry 3:
Sm7DyHo4, relaxed, DFT GGA-PBE; SG = P-1
1.0
-2.1122 -0.3910 6.9079
-3.9414 -6.3191 6.0076
7.2754 -4.7741 1.9554
Sm Dy Ho
7 1 4
Direct
0.7516 0.5004 0.0008
0.2484 0.4996 0.9992
0.9709 0.2798 0.6652
0.0291 0.7202 0.3348
0.2212 0.7787 0.6659
0.5000 0.0000 0.0000
0.7788 0.2213 0.3341
0.0000 0.0000 0.0000
0.5297 0.7218 0.3330
0.4703 0.2782 0.6670
0.7201 0.7799 0.6654
0.2799 0.2201 0.3346

Entry 4:
Sm2DyHo, relaxed, DFT GGA-PBE; SG = R-3m
1.0
3.5814 0.0000 0.0000
1.7907 3.1016 0.0000
1.7907 1.0339 11.6425
Ho Sm Dy
1 2 1
Direct
0.0000 0.0000 0.0000
0.7498 0.7498 0.7505
0.2502 0.2502 0.2495
0.5000 0.5000 0.5000

Entry 5:
Sm6Dy16Ho7, relaxed, DFT GGA-PBE; SG = Fm-3m
1.0
9.6316 0.0000 5.5608
3.2105 9.0808 5.5608
0.0000 0.0000 11.1216
Sm Dy Ho
6 16 7
Direct
0.2766 0.7234 0.2766
0.7234 0.2766 0.7234
0.7234 0.2766 0.2766
0.2766 0.7234 0.7234
0.7234 0.7234 0.2766
0.2766 0.2766 0.7234
0.8756 0.8756 0.3731
0.8756 0.8756 0.8756
0.8756 0.3731 0.8756
0.3731 0.8756 0.8756
0.1244 0.1244 0.1244
0.1244 0.1244 0.6269
0.1244 0.6269 0.1244
0.6269 0.1244 0.1244
0.6518 0.6518 0.0447
0.6518 0.6518 0.6518
0.6518 0.0447 0.6518
0.0447 0.6518 0.6518
0.3482 0.3482 0.3482
0.3482 0.3482 0.9553
0.3482 0.9553 0.3482
0.9553 0.3482 0.3482
0.0000 0.0000 0.0000
0.5000 0.0000 0.5000
0.0000 0.5000 0.0000
0.0000 0.5000 0.5000
0.5000 0.0000 0.0000
0.0000 0.0000 0.5000
0.5000 0.5000 0.0000

Entry 6:
SmDy2Ho, relaxed, DFT GGA-PBE; SG = Imm2
1.0
3.4822 0.0211 1.0377
0.8249 5.7121 3.4729
-0.1110 0.4329 6.7208
Sm Dy Ho
1 2 1
Direct
0.2500 0.1678 0.3322
0.0009 0.0820 0.9152
0.4991 0.5848 0.4180
0.7500 0.6653 0.8347

Number 1: total magnetization 0.00 μB per cell, VASP energy -4.20 eV per atom, density of states at the Fermi level 12.87 states/eV per cell. Number 2: total magnetization 0.00 μB per cell, VASP energy -4.47 eV per atom, density of states at the Fermi level 12.01 states/eV per cell. Number 3: total magnetization 0.00 μB per cell, VASP energy -4.66 eV per atom, density of states at the Fermi level 16.27 states/eV per cell. Number 4: total magnetization 0.00 μB per cell, VASP energy -4.64 eV per atom, density of states at the Fermi level 4.81 states/eV per cell. Number 5: total magnetization 0.05 μB per cell, VASP energy -4.38 eV per atom, density of states at the Fermi level 56.88 states/eV per cell. Number 6: total magnetization 0.00 μB per cell, VASP energy -4.61 eV per atom, density of states at the Fermi level 6.98 states/eV per cell.